{"formula": "SmZrZnTc", "functional": "GGA-PBE", "state": "relaxed", "lattice_angstrom": [[4.864, 0.000, 0.000], [2.432, 4.212, 0.000], [2.432, 1.404, 3.971]], "species": ["Zr", "Zn", "Tc", "Sm"], "frac_coords": [[0.250, 0.250, 0.250], [0.000, 0.000, 0.000], [0.500, 0.500, 0.500], [0.750, 0.750, 0.750]], "energy_ev_per_fu": -25.34, "e_form_ev_per_atom": -0.107, "sg": "F-43m"}